Compound: CdOs2Pt
Source: Alexandria
Functional: PBE-GGA
Structure: relaxed

Cell and atoms, written as CIF:
```
data_CdOs2Pt
_symmetry_space_group_name_H-M 'R -3 m'
_symmetry_Int_Tables_number 166
_symmetry_space_group_name_Hall '-R 3 2"'
_cell_length_a 2.7899
_cell_length_b 2.7899
_cell_length_c 28.0992
_cell_angle_alpha 90.00
_cell_angle_beta 90.00
_cell_angle_gamma 120.00
loop_
_atom_site_label
_atom_site_type_symbol
_atom_site_fract_x
_atom_site_fract_y
_atom_site_fract_z
_atom_site_occupancy
Cd1 Cd 0.0000 0.0000 0.0000 1
Os1 Os 0.0000 0.0000 0.2459 1
Pt1 Pt 0.0000 0.0000 0.5000 1
```

## Properties
Magnetic moment: 0.0 Bohr magnetons per cell
D(E_F): 0.71 states/eV per atom
Energy of formation from the pure elements: 1.73 eV/f.u.
V: 189 Å³ per cell

Compound: Cd2OsPt
Source: Alexandria
Functional: PBE-GGA
Structure: relaxed

Cell and atoms, written as CIF:
```
data_Cd2OsPt
_symmetry_space_group_name_H-M 'P 4 m m'
_symmetry_Int_Tables_number 99
_symmetry_space_group_name_Hall 'P 4 -2'
_cell_length_a 2.860
_cell_length_b 2.860
_cell_length_c 8.622
_cell_angle_alpha 90.00
_cell_angle_beta 90.00
_cell_angle_gamma 90.00
loop_
_atom_site_label
_atom_site_type_symbol
_atom_site_fract_x
_atom_site_fract_y
_atom_site_fract_z
_atom_site_occupancy
Cd1 Cd 0.000 0.000 0.000 1
Cd2 Cd 0.500 0.500 0.292 1
Os1 Os 0.000 0.000 0.538 1
Pt1 Pt 0.500 0.500 0.748 1
```

## Properties
Magnetic moment: 0.0 Bohr magnetons per cell
D(E_F): 0.74 states/eV per atom
Energy of formation from the pure elements: 0.91 eV/f.u.
V: 71 Å³ per cell

Compound: TaCdOs2Pt
Source: Alexandria
Functional: PBE-GGA
Structure: relaxed

Cell and atoms, written as CIF:
```
data_TaCdOs2Pt
_symmetry_space_group_name_H-M 'P 4/m m m'
_symmetry_Int_Tables_number 123
_symmetry_space_group_name_Hall '-P 4 2'
_cell_length_a 4.778
_cell_length_b 4.778
_cell_length_c 4.906
_cell_angle_alpha 90.00
_cell_angle_beta 90.00
_cell_angle_gamma 90.00
loop_
_atom_site_label
_atom_site_type_symbol
_atom_site_fract_x
_atom_site_fract_y
_atom_site_fract_z
_atom_site_occupancy
Ta1 Ta 0.000 0.000 0.000 1
Cd1 Cd 0.500 0.500 0.500 1
Os1 Os 0.000 0.500 0.000 1
Pt1 Pt 0.000 0.000 0.500 1
```

## Properties
Relative energy among the computed polymorphs: 0.00 kcal/mol of atoms
Magnetic moment: 0.7 Bohr magnetons per cell
D(E_F): 0.88 states/eV per atom
Energy of formation from the pure elements: 7.97 eV/f.u.
V: 112 Å³ per cell

Compound: TaCdOs2Pt
Source: Alexandria
Functional: PBE-GGA
Structure: relaxed

Cell and atoms, written as CIF:
```
data_TaCdOs2Pt
_symmetry_space_group_name_H-M 'P 4/m m m'
_symmetry_Int_Tables_number 123
_symmetry_space_group_name_Hall '-P 4 2'
_cell_length_a 4.751
_cell_length_b 4.751
_cell_length_c 4.677
_cell_angle_alpha 90.00
_cell_angle_beta 90.00
_cell_angle_gamma 90.00
loop_
_atom_site_label
_atom_site_type_symbol
_atom_site_fract_x
_atom_site_fract_y
_atom_site_fract_z
_atom_site_occupancy
Ta1 Ta 0.000 0.000 0.000 1
Cd1 Cd 0.500 0.500 0.500 1
Os1 Os 0.000 0.500 0.500 1
Pt1 Pt 0.500 0.500 0.000 1
```

## Properties
Relative energy among the computed polymorphs: 19.83 kcal/mol of atoms
Magnetic moment: 0.7 Bohr magnetons per cell
D(E_F): 0.77 states/eV per atom
Energy of formation from the pure elements: 12.27 eV/f.u.
V: 106 Å³ per cell

Compound: Pu2CdOs
Source: Alexandria
Functional: PBE-GGA
Structure: relaxed

Cell and atoms, written as CIF:
```
data_Pu2CdOs
_symmetry_space_group_name_H-M 'P 4/m m m'
_symmetry_Int_Tables_number 123
_symmetry_space_group_name_Hall '-P 4 2'
_cell_length_a 4.630
_cell_length_b 4.630
_cell_length_c 4.069
_cell_angle_alpha 90.00
_cell_angle_beta 90.00
_cell_angle_gamma 90.00
loop_
_atom_site_label
_atom_site_type_symbol
_atom_site_fract_x
_atom_site_fract_y
_atom_site_fract_z
_atom_site_occupancy
Pu1 Pu 0.000 0.500 0.000 1
Cd1 Cd 0.000 0.000 0.500 1
Os1 Os 0.500 0.500 0.500 1
```

## Properties
Relative energy among the computed polymorphs: 5.93 kcal/mol of atoms
Magnetic moment: 10.4 Bohr magnetons per cell
D(E_F): 2.73 states/eV per atom
Energy of formation from the pure elements: 0.67 eV/f.u.
V: 87 Å³ per cell

Compound: Pu2CdOs
Source: Alexandria
Functional: PBE-GGA
Structure: relaxed

Cell and atoms, written as CIF:
```
data_Pu2CdOs
_symmetry_space_group_name_H-M 'R -3 m'
_symmetry_Int_Tables_number 166
_symmetry_space_group_name_Hall '-R 3 2"'
_cell_length_a 2.9446
_cell_length_b 2.9446
_cell_length_c 34.2813
_cell_angle_alpha 90.00
_cell_angle_beta 90.00
_cell_angle_gamma 120.00
loop_
_atom_site_label
_atom_site_type_symbol
_atom_site_fract_x
_atom_site_fract_y
_atom_site_fract_z
_atom_site_occupancy
Pu1 Pu 0.0000 0.0000 0.0967 1
Cd1 Cd 0.0000 0.0000 0.0000 1
Os1 Os 0.0000 0.0000 0.5000 1
```

## Properties
Relative energy among the computed polymorphs: 10.45 kcal/mol of atoms
Magnetic moment: 28.8 Bohr magnetons per cell
D(E_F): 2.65 states/eV per atom
Energy of formation from the pure elements: 1.45 eV/f.u.
V: 257 Å³ per cell

Compound: Pu2CdOs
Source: Alexandria
Functional: PBE-GGA
Structure: relaxed

Cell and atoms, written as CIF:
```
data_Pu2CdOs
_symmetry_space_group_name_H-M 'P 4/m m m'
_symmetry_Int_Tables_number 123
_symmetry_space_group_name_Hall '-P 4 2'
_cell_length_a 3.229
_cell_length_b 3.229
_cell_length_c 8.725
_cell_angle_alpha 90.00
_cell_angle_beta 90.00
_cell_angle_gamma 90.00
loop_
_atom_site_label
_atom_site_type_symbol
_atom_site_fract_x
_atom_site_fract_y
_atom_site_fract_z
_atom_site_occupancy
Pu1 Pu 0.000 0.000 0.207 1
Cd1 Cd 0.500 0.500 0.500 1
Os1 Os 0.500 0.500 0.000 1
```

## Properties
Relative energy among the computed polymorphs: 0.00 kcal/mol of atoms
Magnetic moment: 10.6 Bohr magnetons per cell
D(E_F): 2.50 states/eV per atom
Energy of formation from the pure elements: -0.36 eV/f.u.
V: 91 Å³ per cell

Compound: PuScCdOs
Source: Alexandria
Functional: PBE-GGA
Structure: relaxed

Cell and atoms, written as CIF:
```
data_PuScCdOs
_symmetry_space_group_name_H-M 'F -4 3 m'
_symmetry_Int_Tables_number 216
_symmetry_space_group_name_Hall 'F -4 2 3'
_cell_length_a 6.920
_cell_length_b 6.920
_cell_length_c 6.920
_cell_angle_alpha 90.00
_cell_angle_beta 90.00
_cell_angle_gamma 90.00
loop_
_atom_site_label
_atom_site_type_symbol
_atom_site_fract_x
_atom_site_fract_y
_atom_site_fract_z
_atom_site_occupancy
Pu1 Pu 0.000 0.000 0.000 1
Sc1 Sc 0.000 0.000 0.500 1
Cd1 Cd 0.250 0.250 0.750 1
Os1 Os 0.250 0.250 0.250 1
```

## Properties
Magnetic moment: 21.0 Bohr magnetons per cell
D(E_F): 2.58 states/eV per atom
Energy of formation from the pure elements: -0.05 eV/f.u.
V: 331 Å³ per cell

Compound: TbPuCdOs
Source: Alexandria
Functional: PBE-GGA
Structure: relaxed

Cell and atoms, written as CIF:
```
data_TbPuCdOs
_symmetry_space_group_name_H-M 'P 4 m m'
_symmetry_Int_Tables_number 99
_symmetry_space_group_name_Hall 'P 4 -2'
_cell_length_a 3.307
_cell_length_b 3.307
_cell_length_c 8.494
_cell_angle_alpha 90.00
_cell_angle_beta 90.00
_cell_angle_gamma 90.00
loop_
_atom_site_label
_atom_site_type_symbol
_atom_site_fract_x
_atom_site_fract_y
_atom_site_fract_z
_atom_site_occupancy
Tb1 Tb 0.000 0.000 0.000 1
Pu1 Pu 0.000 0.000 0.587 1
Cd1 Cd 0.500 0.500 0.292 1
Os1 Os 0.500 0.500 0.790 1
```

## Properties
Relative energy among the computed polymorphs: 0.00 kcal/mol of atoms
Magnetic moment: 5.1 Bohr magnetons per cell
D(E_F): 1.82 states/eV per atom
Energy of formation from the pure elements: -0.60 eV/f.u.
V: 93 Å³ per cell

Compound: TbPuCdOs
Source: Alexandria
Functional: PBE-GGA
Structure: relaxed

Cell and atoms, written as CIF:
```
data_TbPuCdOs
_symmetry_space_group_name_H-M 'F -4 3 m'
_symmetry_Int_Tables_number 216
_symmetry_space_group_name_Hall 'F -4 2 3'
_cell_length_a 7.115
_cell_length_b 7.115
_cell_length_c 7.115
_cell_angle_alpha 90.00
_cell_angle_beta 90.00
_cell_angle_gamma 90.00
loop_
_atom_site_label
_atom_site_type_symbol
_atom_site_fract_x
_atom_site_fract_y
_atom_site_fract_z
_atom_site_occupancy
Tb1 Tb 0.000 0.000 0.000 1
Pu1 Pu 0.000 0.000 0.500 1
Cd1 Cd 0.250 0.250 0.750 1
Os1 Os 0.250 0.250 0.250 1
```

## Properties
Relative energy among the computed polymorphs: 3.56 kcal/mol of atoms
Magnetic moment: 21.2 Bohr magnetons per cell
D(E_F): 2.59 states/eV per atom
Energy of formation from the pure elements: 0.02 eV/f.u.
V: 360 Å³ per cell

Compound: YPuCdOs
Source: Alexandria
Functional: PBE-GGA
Structure: relaxed

Cell and atoms, written as CIF:
```
data_YPuCdOs
_symmetry_space_group_name_H-M 'F -4 3 m'
_symmetry_Int_Tables_number 216
_symmetry_space_group_name_Hall 'F -4 2 3'
_cell_length_a 7.112
_cell_length_b 7.112
_cell_length_c 7.112
_cell_angle_alpha 90.00
_cell_angle_beta 90.00
_cell_angle_gamma 90.00
loop_
_atom_site_label
_atom_site_type_symbol
_atom_site_fract_x
_atom_site_fract_y
_atom_site_fract_z
_atom_site_occupancy
Y1 Y 0.000 0.000 0.000 1
Pu1 Pu 0.000 0.000 0.500 1
Cd1 Cd 0.250 0.250 0.750 1
Os1 Os 0.250 0.250 0.250 1
```

## Properties
Magnetic moment: 21.1 Bohr magnetons per cell
D(E_F): 2.63 states/eV per atom
Energy of formation from the pure elements: 0.02 eV/f.u.
V: 360 Å³ per cell

Compound: Rb2Cd2Os
Source: Alexandria
Functional: PBE-GGA
Structure: relaxed

Cell and atoms, written as CIF:
```
data_Rb2Cd2Os
_symmetry_space_group_name_H-M 'P 4/m b m'
_symmetry_Int_Tables_number 127
_symmetry_space_group_name_Hall '-P 4 2ab'
_cell_length_a 10.638
_cell_length_b 10.638
_cell_length_c 2.933
_cell_angle_alpha 90.00
_cell_angle_beta 90.00
_cell_angle_gamma 90.00
loop_
_atom_site_label
_atom_site_type_symbol
_atom_site_fract_x
_atom_site_fract_y
_atom_site_fract_z
_atom_site_occupancy
Rb1 Rb 0.196 0.304 0.000 1
Cd1 Cd 0.099 0.599 0.500 1
Os1 Os 0.000 0.000 0.000 1
```

## Properties
Relative energy among the computed polymorphs: 2.97 kcal/mol of atoms
Magnetic moment: 2.9 Bohr magnetons per cell
D(E_F): 0.87 states/eV per atom
Energy of formation from the pure elements: 6.07 eV/f.u.
V: 332 Å³ per cell